Ga2Cu2Te | PBE | optimized geometry

Offset from the most stable computed form in meV per atom: 0
Symmetry: I4/mmm (139)
V in Å³ per cell: 89
Energy relative to the elements, uncorrected in kJ per mole of atoms: 4.1
Calculated density in g cm⁻³: 7.37
Total magnetic moment in μB per cell: 0.0

a = 6.583 Å, b = 6.583 Å, c = 6.583 Å
α = 146.00°, β = 146.00°, γ = 48.85°
Sites, in units of the cell vectors:
Ga 0.250 0.750 0.500
Ga 0.750 0.250 0.500
Cu 0.104 0.104 0.000
Cu 0.896 0.896 0.000
Te 0.500 0.500 0.000